[1]
Density functional theory data (GGA-PBE) for Ca3In2Rh after structural relaxation.

The value obtained for the calculated density is 4568 kg/m³.

a b c (Å): 10.309 8.824 7.898
angles (deg): 90.00 113.62 90.00
Space group C2/c (No. 15)
Symmetry-distinct sites (fractional):
Ca 0.000 0.019 0.250 (multiplicity 4)
Ca 0.127 0.403 0.971 (multiplicity 8)
In 0.192 0.233 0.634 (multiplicity 8)
Rh 0.000 0.324 0.250 (multiplicity 4)

***

[2]
Density functional theory data (GGA-PBE) for Ca4InRh after structural relaxation.

The value obtained for the calculated density is 3738 kg/m³. As for the polymorph energy (0 for the lowest one): 847 meV/atom.

a b c (Å): 8.758 8.758 8.758
angles (deg): 90.00 90.00 90.00
Space group F-43m (No. 216)
Symmetry-distinct sites (fractional):
Ca 0.124 0.124 0.376 (multiplicity 16)
In 0.000 0.000 0.000 (multiplicity 4)
Rh 0.250 0.250 0.750 (multiplicity 4)

***

[3]
Density functional theory data (GGA-PBE) for CaIn2Rh after structural relaxation.

The value obtained for the calculated density is 7083 kg/m³.

a b c (Å): 5.910 8.994 3.288
angles (deg): 90.00 91.49 90.00
Space group C2/m (No. 12)
Symmetry-distinct sites (fractional):
Ca 0.000 0.000 0.000 (multiplicity 2)
In 0.250 0.250 0.500 (multiplicity 4)
Rh 0.000 0.500 0.000 (multiplicity 2)

***

Ordered calculated formation energy results: -0.405; 0.461; -0.124; unit eV per atom.